No. 1
VASP calculation (PBE) on a relaxed structure of LaNiB.

abc: 5.830 5.830 5.563
angles: 90.00 90.00 144.79
Fractional positions:
La 0.136 0.864 0.750
La 0.864 0.136 0.250
Ni 0.414 0.586 0.750
Ni 0.586 0.414 0.250
B 0.156 0.844 0.250
B 0.844 0.156 0.750

Summary:
The value obtained for the formation energy is -0.111 eV per atom. The calculation puts the relative energy among the computed polymorphs at 0.281 eV per formula unit. Its density of states at the Fermi level is 1.4 states/eV/f.u.



No. 2
VASP calculation (PBE) on a relaxed structure of LiCuNi4.

abc: 4.663 4.663 4.663
angles: 60.00 60.00 60.00
Fractional positions:
Li 0.000 0.000 0.000
Cu 0.750 0.750 0.750
Ni 0.375 0.375 0.375
Ni 0.375 0.375 0.875
Ni 0.375 0.875 0.375
Ni 0.875 0.375 0.375

Summary:
The value obtained for the formation energy is 0.062 eV per atom. The calculation puts the relative energy among the computed polymorphs at 0.000 eV per formula unit. Its density of states at the Fermi level is 1.7 states/eV/f.u.



No. 3
VASP calculation (PBE) on a relaxed structure of TlZnPtRh.

abc: 4.542 4.542 4.542
angles: 60.00 60.00 60.00
Fractional positions:
Tl 0.000 0.000 0.000
Zn 0.500 0.500 0.500
Pt 0.750 0.750 0.750
Rh 0.250 0.250 0.250

Summary:
The value obtained for the formation energy is -0.112 eV per atom. Its density of states at the Fermi level is 2.5 states/eV/f.u.



No. 4
VASP calculation (PBE) on a relaxed structure of SmVRh6.

abc: 4.082 4.082 8.338
angles: 90.00 90.00 90.00
Fractional positions:
Sm 0.000 0.000 0.000
V 0.000 0.000 0.500
Rh 0.000 0.500 0.334
Rh 0.000 0.500 0.666
Rh 0.500 0.000 0.334
Rh 0.500 0.000 0.666
Rh 0.500 0.500 0.143
Rh 0.500 0.500 0.857

Summary:
The value obtained for the formation energy is -0.187 eV per atom. Its density of states at the Fermi level is 6.9 states/eV/f.u.